[1]
Ho6Th5 | PBE-GGA | optimized geometry

Cell: 5.444 8.152 16.192 Å, 90.00 90.00 90.00°
Space group Immm (No. 71)
Unique sites:
Ho (0.000, 0.207, 0.141) x8
Ho (0.000, 0.290, 0.500) x4
Th (0.000, 0.000, 0.341) x4
Th (0.000, 0.500, 0.000) x2
Th (0.000, 0.500, 0.299) x4

Values from the calculation:
* density of states at the Fermi level: 1.445 states/eV per atom
* mass density: 9.94 g/cm3
* crystal system: orthorhombic
* energy relative to the elements: 0.162 eV per atom

[2]
CdGe | PBE-GGA | optimized geometry

Cell: 8.517 8.636 10.724 Å, 90.00 90.00 90.00°
Space group Fddd (No. 70, origin choice 2)
Unique sites:
Cd (0.125, 0.291, 0.125) x16
Ge (0.125, 0.125, 0.509) x16

Values from the calculation:
* density of states at the Fermi level: 0.373 states/eV per atom
* mass density: 6.23 g/cm3
* crystal system: orthorhombic
* energy relative to the elements: 0.252 eV per atom

[3]
TbSm2Ho | PBE-GGA | optimized geometry

Cell: 3.706 5.918 11.960 Å, 90.00 90.00 90.00°
Space group Imm2 (No. 44)
Unique sites:
Tb (0.000, 0.000, 0.000) x2
Sm (0.000, 0.000, 0.514) x2
Sm (0.000, 0.500, 0.753) x2
Ho (0.000, 0.500, 0.260) x2

Values from the calculation:
* density of states at the Fermi level: 2.105 states/eV per atom
* mass density: 7.91 g/cm3
* crystal system: orthorhombic
* energy relative to the elements: 0.119 eV per atom

- mass density of number 1 (Ho6Th5)?
  9.94 g/cm3

Please write out number 1 again, unchanged.
Ho6Th5 | PBE-GGA | optimized geometry

Cell: 5.444 8.152 16.192 Å, 90.00 90.00 90.00°
Space group Immm (No. 71)
Unique sites:
Ho (0.000, 0.207, 0.141) x8
Ho (0.000, 0.290, 0.500) x4
Th (0.000, 0.000, 0.341) x4
Th (0.000, 0.500, 0.000) x2
Th (0.000, 0.500, 0.299) x4

Values from the calculation:
* density of states at the Fermi level: 1.445 states/eV per atom
* mass density: 9.94 g/cm3
* crystal system: orthorhombic
* energy relative to the elements: 0.162 eV per atom

- What is the mass density in the second record?
  6.23 g/cm3